! GGA-PBE ThBeOs2, optimized geometry; values from VASP
&SYSTEM
  ibrav = 0, nat = 4, ntyp = 3
/
ATOMIC_SPECIES
Os 190.23 Os.upf
Be 9.01 Be.upf
Th 232.04 Th.upf
ATOMIC_POSITIONS crystal
Os 0.182 0.182 0.453
Be 0.500 0.500 0.500
Os 0.818 0.818 0.547
Th 0.000 0.000 0.000
CELL_PARAMETERS angstrom
-3.934 1.212 1.254
-3.354 -0.507 -2.648
-3.233 -4.334 1.429
! Crystal system: trigonal
! Theoretical density, g/cm3: 12.8
! Formation energy, meV/atom: -68.1
! DOS(E_F), states/eV/cell: 4.7
! Energy, eV per atom: -8.469
! Size of the total moment, μB/f.u.: 0.0